TbCeCo2 (PBE, relaxed); calculated formation energy = -0.01 eV per atom; DFT total energy = -24.82 eV for the cell shown
1.0
1.889 1.091 6.495
-1.889 1.091 6.495
0.000 -2.181 6.495
Tb Ce Co
1 1 2
direct
0.000 0.000 0.000
0.500 0.500 0.500
0.243 0.243 0.243
0.757 0.757 0.757

Cs3PaPb2S6 (PBE, relaxed); formation energy (no corrections) = -27.6 kcal/mol of atoms; DFT total energy = -58.62 eV for the cell shown
1.0
3.741 -6.459 0.000
3.741 6.459 0.000
-2.466 0.000 7.956
Cs Pa Pb S
3 1 2 6
direct
0.000 0.000 0.000
0.324 0.676 0.000
0.676 0.324 0.000
0.500 0.500 0.500
0.166 0.834 0.500
0.834 0.166 0.500
0.139 0.438 0.314
0.266 0.266 0.690
0.438 0.139 0.314
0.562 0.861 0.686
0.734 0.734 0.310
0.861 0.562 0.686

Tb2GaP (PBE, relaxed); calculated formation energy = -0.56 eV per atom; DFT total energy = -19.95 eV for the cell shown
1.0
1.891 1.092 9.352
-1.891 1.092 9.352
0.000 -2.184 9.352
Tb Ga P
2 1 1
direct
0.108 0.108 0.108
0.892 0.892 0.892
0.000 0.000 0.000
0.500 0.500 0.500

NaSrBe (PBE, relaxed); calculated formation energy = 0.21 eV per atom; DFT total energy = -12.18 eV for the cell shown
1.0
4.120 0.000 0.000
2.041 3.589 0.000
2.033 1.189 13.744
Na Sr Be
2 2 2
direct
0.000 0.000 0.000
0.263 0.263 0.211
0.755 0.741 0.751
0.850 0.836 0.459
0.136 0.123 0.605
0.469 0.455 0.605

Al4InCo (PBE, relaxed); calculated formation energy = 0.30 eV per atom; DFT total energy = -23.02 eV for the cell shown
1.0
0.000 3.722 3.722
3.722 0.000 3.722
3.722 3.722 0.000
Al In Co
4 1 1
direct
0.124 0.124 0.124
0.124 0.124 0.628
0.124 0.628 0.124
0.628 0.124 0.124
0.500 0.500 0.500
0.750 0.750 0.750

CuPH2 (PBE, relaxed); DFT total energy = -15.70 eV for the cell shown
1.0
2.517 0.000 0.000
1.258 3.925 0.000
1.227 0.215 5.084
Cu P H
1 1 2
direct
0.000 0.000 0.000
0.809 0.581 0.797
0.357 0.099 0.192
0.880 0.701 0.527

NaP2PtCl (PBE, relaxed); formation energy (no corrections) = -2.4 kcal/mol of atoms; DFT total energy = -20.56 eV for the cell shown
1.0
4.443 0.000 0.000
0.000 4.443 0.000
0.000 0.000 8.602
Na P Pt Cl
1 2 1 1
direct
0.000 0.000 0.000
0.000 0.500 0.500
0.500 0.000 0.500
0.500 0.500 0.500
0.500 0.500 0.000

Be5Ag4 (PBE, relaxed); calculated formation energy = 0.24 eV per atom; DFT total energy = -55.79 eV for the cell shown
1.0
7.208 0.000 0.000
-3.604 6.243 0.000
0.000 0.000 5.061
Be Ag
10 8
direct
0.000 0.305 0.250
0.000 0.695 0.750
0.305 0.000 0.250
0.305 0.305 0.750
0.333 0.667 0.000
0.333 0.667 0.500
0.667 0.333 0.000
0.667 0.333 0.500
0.695 0.000 0.750
0.695 0.695 0.250
0.000 0.000 0.000
0.000 0.000 0.500
0.000 0.374 0.750
0.000 0.626 0.250
0.374 0.000 0.750
0.374 0.374 0.250
0.626 0.000 0.250
0.626 0.626 0.750

Ba3Al3Ga2 (PBE, relaxed); calculated formation energy = -0.30 eV per atom; DFT total energy = -50.94 eV for the cell shown
1.0
2.219 -6.578 0.000
2.219 6.578 0.000
0.000 0.000 16.611
Ba Al Ga
6 6 4
direct
0.057 0.943 0.601
0.057 0.943 0.899
0.358 0.642 0.750
0.642 0.358 0.250
0.943 0.057 0.101
0.943 0.057 0.399
0.321 0.679 0.535
0.321 0.679 0.965
0.349 0.651 0.250
0.651 0.349 0.750
0.679 0.321 0.035
0.679 0.321 0.465
0.239 0.761 0.111
0.239 0.761 0.389
0.761 0.239 0.611
0.761 0.239 0.889

Dy6HoTl5 (PBE, relaxed); calculated formation energy = -0.18 eV per atom; DFT total energy = -46.21 eV for the cell shown
1.0
5.181 -5.590 0.000
5.181 5.590 0.000
-1.387 0.000 6.090
Dy Ho Tl
6 1 5
direct
0.053 0.405 0.738
0.226 0.226 0.228
0.405 0.053 0.738
0.595 0.947 0.262
0.774 0.774 0.772
0.947 0.595 0.262
0.500 0.500 0.000
0.000 0.000 0.500
0.197 0.803 0.000
0.358 0.642 0.500
0.642 0.358 0.500
0.803 0.197 0.000